Entry 1:
Computed, not measured: PmBrF3 after structural relaxation at the PBE-GGA level of DFT.

E	-5.2588	eV/atom
crystal system	monoclinic
density	5.3	g/cm3
E_form (uncorrected)	-2.851	eV per atom
magnetic moment	0.00	μB/f.u.

extended XYZ file:
```
10
Lattice="4.727 0.000 0.000 0.000 6.337 0.000 -1.370 0.000 5.938" Properties=species:S:1:pos:R:3 pbc="T T T"
Pm 0.743 1.584 0.806
Pm 2.613 4.753 5.131
Br 0.896 4.753 2.636
Br 2.460 1.584 3.302
F 0.063 1.584 3.006
F -0.231 3.409 5.426
F -0.231 6.097 5.426
F 3.588 0.241 0.511
F 3.588 2.928 0.511
F 3.294 4.753 2.932
```

Entry 2:
Computed, not measured: PmBrF2 after structural relaxation at the PBE-GGA level of DFT.

E	-5.8942	eV/atom
distance to the lowest polymorph of the same formula	0.00	eV/f.u.
crystal system	orthorhombic
density	5.8	g/cm3
E_form (uncorrected)	-3.353	eV per atom
magnetic moment	0.00	μB/f.u.

extended XYZ file:
```
8
Lattice="1.959 -5.412 0.000 1.959 5.412 0.000 0.000 0.000 7.155" Properties=species:S:1:pos:R:3 pbc="T T T"
Pm 1.959 2.818 5.367
Pm 1.959 -2.818 1.789
Br 1.959 4.936 1.789
Br 1.959 -4.936 5.367
F 1.959 2.040 0.496
F 1.959 2.040 3.082
F 1.959 -2.040 4.074
F 1.959 -2.040 6.659
```

Entry 3:
Computed, not measured: Pm2BrF6 after structural relaxation at the PBE-GGA level of DFT.

E	-5.9019	eV/atom
crystal system	orthorhombic
density	5.5	g/cm3
E_form (uncorrected)	-3.413	eV per atom
magnetic moment	1.00	μB/f.u.

extended XYZ file:
```
9
Lattice="-2.080 3.449 5.134 2.080 -3.449 5.134 2.080 3.449 -5.134" Properties=species:S:1:pos:R:3 pbc="T T T"
Pm 0.000 0.000 1.945
Pm 0.000 0.000 8.324
Br 0.000 0.000 5.134
F 2.080 -1.243 2.051
F 0.000 1.240 0.000
F 2.080 1.243 2.051
F 0.000 2.206 3.083
F 0.000 5.657 0.000
F 0.000 4.691 3.083
```

Entry 4:
Computed, not measured: Pm2BrF after structural relaxation at the PBE-GGA level of DFT.

E	-4.8788	eV/atom
crystal system	trigonal
density	7.1	g/cm3
E_form (uncorrected)	-1.617	eV per atom
magnetic moment	0.00	μB/f.u.

extended XYZ file:
```
4
Lattice="1.786 1.031 8.209 -1.786 1.031 8.209 0.000 -2.062 8.209" Properties=species:S:1:pos:R:3 pbc="T T T"
Pm 0.000 0.000 5.833
Pm 0.000 0.000 18.794
Br 0.000 0.000 0.000
F 0.000 0.000 12.314
```

Entry 5:
Computed, not measured: PmBrF2 after structural relaxation at the PBE-GGA level of DFT.

E	-5.3673	eV/atom
distance to the lowest polymorph of the same formula	2.11	eV/f.u.
crystal system	trigonal
density	6.3	g/cm3
E_form (uncorrected)	-2.826	eV per atom
magnetic moment	0.00	μB/f.u.

extended XYZ file:
```
4
Lattice="2.428 1.402 3.408 -2.428 1.402 3.408 0.000 -2.804 3.408" Properties=species:S:1:pos:R:3 pbc="T T T"
Pm 0.000 0.000 0.000
Br 0.000 0.000 5.112
F 0.000 0.000 2.284
F 0.000 0.000 7.940
```

Entry 6:
Computed, not measured: PmBr3F after structural relaxation at the PBE-GGA level of DFT.

E	-4.3216	eV/atom
crystal system	monoclinic
density	4.1	g/cm3
E_form (uncorrected)	-1.993	eV per atom
magnetic moment	0.00	μB/f.u.

extended XYZ file:
```
10
Lattice="5.166 -4.441 0.000 5.166 4.441 0.000 -3.941 0.000 7.113" Properties=species:S:1:pos:R:3 pbc="T T T"
Pm 1.846 0.000 0.250
Pm 4.546 0.000 6.863
Br -0.396 1.758 5.688
Br 2.277 0.000 4.313
Br -0.396 -1.758 5.688
Br 6.788 1.758 1.425
Br 4.115 0.000 2.800
Br 6.788 -1.758 1.425
F -0.241 0.000 1.261
F 6.633 0.000 5.852
```